Below is a relaxed structure of Tb3Sm3Dy, with properties calculated at the PBE level.

It has space group P6_3/m (No. 176), with a = 9.6311 Å, b = 9.6311 Å, c = 5.7448 Å, α = 90.00°, β = 90.00° and γ = 120.00°. The distinct sites, in fractional coordinates, are Tb at (0.0952, 0.4773, 0.2500), Sm at (0.0481, 0.2406, 0.7500) and Dy at (0.3333, 0.6667, 0.7500).

Its energy relative to the elements is 0.018 eV per atom. As for the crystal system: hexagonal.


Below is a relaxed structure of TbSm4Dy3, with properties calculated at the PBE level.

It has space group Pmn2_1 (No. 31), with a = 11.4782 Å, b = 7.3088 Å, c = 6.3115 Å, α = 90.00°, β = 90.00° and γ = 90.00°. The distinct sites, in fractional coordinates, are Tb at (0.0000, 0.1235, 0.0000), Sm at (0.0000, 0.3733, 0.4997), Sm at (0.0000, 0.6272, 0.9986), Sm at (0.2505, 0.3733, 0.8330), Dy at (0.0000, 0.8776, 0.4998) and Dy at (0.2500, 0.1229, 0.3325).

Its energy relative to the elements is 0.023 eV per atom. As for the crystal system: orthorhombic.


Below is a relaxed structure of Tb5SmDy3, with properties calculated at the PBE level.

It has space group C2/m (No. 12), with a = 16.7854 Å, b = 8.0157 Å, c = 12.2828 Å, α = 90.00°, β = 130.90° and γ = 90.00°. The distinct sites, in fractional coordinates, are Tb at (0.0000, 0.1808, 0.0000), Tb at (0.0640, 0.2953, 0.7791), Tb at (0.1260, 0.5000, 0.5679), Tb at (0.1995, 0.0000, 0.0688), Sm at (0.2357, 0.5000, 0.1281), Dy at (0.0000, 0.0000, 0.5000), Dy at (0.0000, 0.5000, 0.0000), Dy at (0.1176, 0.0000, 0.3140) and Dy at (0.1763, 0.5000, 0.3409).

Its energy relative to the elements is 0.415 eV per atom. As for the crystal system: monoclinic.


Below is a relaxed structure of Tb5Sm3Dy4, with properties calculated at the PBE level.

It has space group C2/m (No. 12), with a = 16.0386 Å, b = 5.9102 Å, c = 9.2730 Å, α = 90.00°, β = 116.12° and γ = 90.00°. The distinct sites, in fractional coordinates, are Tb at (0.0000, 0.0000, 0.0000), Tb at (0.0742, 0.5000, 0.6981), Tb at (0.1730, 0.5000, 0.3882), Sm at (0.0000, 0.5000, 0.0000), Sm at (0.2081, 0.0000, 0.2295), Dy at (0.0815, 0.0000, 0.4414) and Dy at (0.2111, 0.0000, 0.8778).

Its energy relative to the elements is 0.231 eV per atom. As for the crystal system: monoclinic.


Below is a relaxed structure of TbSmDy, with properties calculated at the PBE level.

It has space group I4mm (No. 107), with a = 3.5740 Å, b = 3.5740 Å, c = 15.1906 Å, α = 90.00°, β = 90.00° and γ = 90.00°. The distinct sites, in fractional coordinates, are Tb at (0.0000, 0.0000, 0.0000), Sm at (0.0000, 0.0000, 0.6680) and Dy at (0.0000, 0.0000, 0.3352).

Its energy relative to the elements is 0.017 eV per atom. As for the crystal system: tetragonal.


Below is a relaxed structure of Tb3Sm4Dy5, with properties calculated at the PBE level.

It has space group C2/m (No. 12), with a = 16.0849 Å, b = 5.9179 Å, c = 9.3224 Å, α = 90.00°, β = 116.36° and γ = 90.00°. The distinct sites, in fractional coordinates, are Tb at (0.0000, 0.0000, 0.0000), Tb at (0.2097, 0.5000, 0.2326), Sm at (0.0827, 0.5000, 0.4433), Sm at (0.2140, 0.5000, 0.8805), Dy at (0.0000, 0.5000, 0.0000), Dy at (0.0726, 0.0000, 0.7001) and Dy at (0.1722, 0.0000, 0.3869).

Its energy relative to the elements is 0.229 eV per atom. As for the crystal system: monoclinic.


Below is a relaxed structure of Tb8SmDy4, with properties calculated at the PBE level.

It has space group C2/m (No. 12), with a = 10.3794 Å, b = 10.3232 Å, c = 8.1365 Å, α = 90.00°, β = 101.90° and γ = 90.00°. The distinct sites, in fractional coordinates, are Tb at (0.0703, 0.2427, 0.3165), Tb at (0.1748, 0.0000, 0.6605), Tb at (0.2298, 0.5000, 0.7423), Sm at (0.0000, 0.5000, 0.5000), Dy at (0.0000, 0.0000, 0.0000), Dy at (0.0000, 0.5000, 0.0000) and Dy at (0.2500, 0.2500, 0.0000).

Its energy relative to the elements is 0.246 eV per atom. As for the crystal system: monoclinic.


Below is a relaxed structure of Tb3Sm4Dy8, with properties calculated at the PBE level.

It has space group R-3m (No. 166, hexagonal axes), with a = 6.9533 Å, b = 6.9533 Å, c = 35.4015 Å, α = 90.00°, β = 90.00° and γ = 120.00°. The distinct sites, in fractional coordinates, are Tb at (0.0000, 0.5000, 0.0000), Sm at (0.0000, 0.0000, 0.0000), Sm at (0.0000, 0.0000, 0.1635), Sm at (0.0000, 0.0000, 0.5000), Dy at (0.0000, 0.0000, 0.2548) and Dy at (0.0016, 0.5008, 0.2508).

Its energy relative to the elements is 0.129 eV per atom. As for the crystal system: trigonal.


Number 1: final energy -65.05 eV/cell, total moment 0.00 Bohr magnetons per cell, calculated volume 461.5 Å³ per cell. Number 2: final energy -74.27 eV/cell, total moment 0.00 Bohr magnetons per cell, calculated volume 529.5 Å³ per cell. Number 3: final energy -151.76 eV/cell, total moment 0.00 Bohr magnetons per cell, calculated volume 1249.2 Å³ per cell. Number 4: final energy -105.90 eV/cell, total moment 0.48 Bohr magnetons per cell, calculated volume 789.2 Å³ per cell. Number 5: final energy -27.80 eV/cell, total moment 0.00 Bohr magnetons per cell, calculated volume 194.0 Å³ per cell. Number 6: final energy -106.07 eV/cell, total moment 0.82 Bohr magnetons per cell, calculated volume 795.2 Å³ per cell. Number 7: final energy -113.95 eV/cell, total moment 0.00 Bohr magnetons per cell, calculated volume 853.1 Å³ per cell. Number 8: final energy -202.97 eV/cell, total moment 0.00 Bohr magnetons per cell, calculated volume 1482.3 Å³ per cell.